Below is MnSb3Se6 after structural relaxation, with properties calculated at the PBE level.

Cell: 8.8182 8.8182 3.8156 Å, 90.00 90.00 104.81°
Fractional positions:
Mn: 0.0000 0.0000 0.0000
Sb: 0.0000 0.5000 0.5000
Sb: 0.5000 0.0000 0.5000
Sb: 0.5000 0.5000 0.0000
Se: 0.1316 0.8684 0.5000
Se: 0.1771 0.3986 0.0000
Se: 0.3986 0.1771 0.0000
Se: 0.6014 0.8229 0.0000
Se: 0.8229 0.6014 0.0000
Se: 0.8684 0.1316 0.5000

Size of the total moment, μB/f.u.: 4.4
DFT total energy, eV/atom: -4.297
Space-group type: Cmmm, No. 65

Below is Mn2SbSe4 after structural relaxation, with properties calculated at the PBE level.

Cell: 8.0971 8.0971 8.0971 Å, 127.95 127.95 76.71°
Fractional positions:
Mn: 0.0000 0.0000 0.0000
Mn: 0.5000 0.0000 0.0000
Mn: 0.5000 0.0000 0.5000
Mn: 0.5000 0.5000 0.5000
Sb: 0.1250 0.3750 0.7500
Sb: 0.8750 0.6250 0.2500
Se: 0.1291 0.3185 0.0919
Se: 0.1815 0.7734 0.8107
Se: 0.2734 0.9628 0.5919
Se: 0.4628 0.3709 0.6893
Se: 0.5372 0.6291 0.3107
Se: 0.7266 0.0372 0.4081
Se: 0.8185 0.2266 0.1893
Se: 0.8709 0.6815 0.9081

Size of the total moment, μB/f.u.: 7.6
DFT total energy, eV/atom: -5.434
Space-group type: I4_1/a, No. 88